First-principles (PBE) data for crystalline Tb2BiIrO8 at its relaxed geometry, as listed in Alexandria via LeMat-Bulk.

Calculated volume: 172.34 Å³/f.u.
VASP energy: -7.0653 eV/atom
Magnetic moment: 1.99 μB per formula unit

Unit cell a=7.0499 b=7.2317 c=6.7607 alpha=90.00 beta=90.00 gamma=90.00
Space group Cmmm (No. 65)
One atom of each set of equivalent atoms:
Tb 0.0000 0.0000 0.2447 [4 per cell]
Bi 0.0000 0.5000 0.5000 [2 per cell]
Ir 0.0000 0.5000 0.0000 [2 per cell]
O 0.0000 0.3203 0.2238 [8 per cell]
O 0.1955 0.0000 0.5000 [4 per cell]
O 0.2263 0.0000 0.0000 [4 per cell]

First-principles (PBE) data for crystalline ThBiIrO6 at its relaxed geometry, as listed in Alexandria via LeMat-Bulk.

Calculated volume: 135.96 Å³/f.u.
VASP energy: -7.3061 eV/atom
Magnetic moment: 2.01 μB per formula unit

Unit cell a=5.1241 b=5.1241 c=10.3561 alpha=90.00 beta=90.00 gamma=90.00
Space group P4_2nm (No. 102)
One atom of each set of equivalent atoms:
Th 0.0000 0.0000 0.0000 [2 per cell]
Bi 0.0000 0.0000 0.6662 [2 per cell]
Ir 0.0000 0.0000 0.3335 [2 per cell]
O 0.1799 0.1799 0.1841 [4 per cell]
O 0.1827 0.1827 0.4799 [4 per cell]
O 0.2288 0.2288 0.8404 [4 per cell]

First-principles (PBE) data for crystalline Tl2BiIrO8 at its relaxed geometry, as listed in Alexandria via LeMat-Bulk.

Calculated volume: 171.68 Å³/f.u.
VASP energy: -5.4543 eV/atom
Magnetic moment: 1.31 μB per formula unit

Unit cell a=5.0217 b=6.7017 c=5.1058 alpha=90.00 beta=92.38 gamma=90.00
Space group P2/m (No. 10)
One atom of each set of equivalent atoms:
Tl 0.0000 0.2439 0.0000 [2 per cell]
Bi 0.5000 0.5000 0.5000 [1 per cell]
Ir 0.5000 0.0000 0.5000 [1 per cell]
O 0.2147 0.5000 0.1767 [2 per cell]
O 0.2403 0.0000 0.2066 [2 per cell]
O 0.3085 0.2239 0.6599 [4 per cell]

First-principles (PBE) data for crystalline TlBiIrO6 at its relaxed geometry, as listed in Alexandria via LeMat-Bulk.

Calculated volume: 127.09 Å³/f.u.
VASP energy: -5.7601 eV/atom
Magnetic moment: 0.98 μB per formula unit

Unit cell a=4.9803 b=4.9803 c=10.2483 alpha=90.00 beta=90.00 gamma=90.00
Space group P4_2nm (No. 102)
One atom of each set of equivalent atoms:
Tl 0.0000 0.0000 0.0000 [2 per cell]
Bi 0.0000 0.0000 0.6658 [2 per cell]
Ir 0.0000 0.0000 0.3329 [2 per cell]
O 0.1812 0.1812 0.1864 [4 per cell]
O 0.1812 0.1812 0.4810 [4 per cell]
O 0.2253 0.2253 0.8331 [4 per cell]

Number 1: formation energy (no corrections) -1.9263 eV per atom. Number 2: formation energy (no corrections) -1.7604 eV per atom. Number 3: formation energy (no corrections) -0.6926 eV per atom. Number 4: formation energy (no corrections) -0.7760 eV per atom.